No. 1
Density functional theory data (PBE) for a geometry-optimized Rb2AgHBr structure.

Lattice parameters (Å, degrees): 5.947 5.947 4.154 90.00 90.00 90.00
Space group P4/mmm (No. 123)
One atom of each set of equivalent atoms:
1 Rb 0.000 0.500 0.000 [2 per cell]
2 Ag 0.000 0.000 0.500 [1 per cell]
3 H 0.000 0.000 0.000 [1 per cell]
4 Br 0.500 0.500 0.500 [1 per cell]

total moment: 0.000 μB per cell
volume: 29.380 A^3/atom
ρ: 4.1 Mg/m³
total DFT energy (no corrections): -12.7 eV for the cell shown

No. 2
Density functional theory data (PBE) for a geometry-optimized ScAg2HBr structure.

Lattice parameters (Å, degrees): 5.551 5.551 5.175 90.00 90.00 90.00
Space group P4/mmm (No. 123)
One atom of each set of equivalent atoms:
1 Sc 0.000 0.000 0.000 [1 per cell]
2 Ag 0.000 0.500 0.000 [2 per cell]
3 H 0.500 0.500 0.500 [1 per cell]
4 Br 0.000 0.000 0.500 [1 per cell]

total moment: 0.983 μB per cell
volume: 31.890 A^3/atom
ρ: 3.6 Mg/m³
total DFT energy (no corrections): -14.0 eV for the cell shown